Record 1
LaGeSbTe2 after structural relaxation. Source: Alexandria via LeMat-Bulk, functional PBE.

Properties
For the final energy, the calculation gives -4.257 eV/atom. For the density of states at the Fermi level, the calculation gives 2.0 states/eV per cell. The calculation puts the total magnetization at 0.0 μB/cell.

```
data_LaGeSbTe2
_cell_length_a 5.430
_cell_length_b 5.430
_cell_length_c 5.351
_cell_angle_alpha 90.00
_cell_angle_beta 90.00
_cell_angle_gamma 90.00
_space_group_name_H-M_alt 'P 4/m m m'
_space_group_IT_number 123
_space_group_name_Hall '-P 4 2'
loop_
_atom_site_label
_atom_site_type_symbol
_atom_site_fract_x
_atom_site_fract_y
_atom_site_fract_z
_atom_site_occupancy
La1 La 0.000 0.000 0.000 1
Ge1 Ge 0.500 0.500 0.500 1
Sb1 Sb 0.500 0.500 0.000 1
Te1 Te 0.000 0.500 0.500 1
```

---

Record 2
La4GeSb2Te after structural relaxation. Source: Alexandria via LeMat-Bulk, functional PBE.

Properties
For the final energy, the calculation gives -5.727 eV/atom. For the density of states at the Fermi level, the calculation gives 1.3 states/eV per cell. The calculation puts the total magnetization at 0.0 μB/cell.

```
data_La4GeSb2Te
_cell_length_a 7.911
_cell_length_b 4.565
_cell_length_c 7.932
_cell_angle_alpha 90.00
_cell_angle_beta 109.28
_cell_angle_gamma 90.00
_space_group_name_H-M_alt 'P 1 2/m 1'
_space_group_IT_number 10
_space_group_name_Hall '-P 2y'
loop_
_atom_site_label
_atom_site_type_symbol
_atom_site_fract_x
_atom_site_fract_y
_atom_site_fract_z
_atom_site_occupancy
La1 La 0.241 0.000 0.238 1
La2 La 0.248 0.500 0.762 1
Ge1 Ge 0.000 0.500 0.000 1
Sb1 Sb 0.500 0.000 0.000 1
Sb2 Sb 0.500 0.500 0.500 1
Te1 Te 0.000 0.000 0.500 1
```

---

Record 3
La4GeSbTe2 after structural relaxation. Source: Alexandria via LeMat-Bulk, functional PBE.

Properties
For the final energy, the calculation gives -5.733 eV/atom. For the density of states at the Fermi level, the calculation gives 2.1 states/eV per cell. The calculation puts the total magnetization at 0.0 μB/cell.

```
data_La4GeSbTe2
_cell_length_a 7.913
_cell_length_b 4.553
_cell_length_c 7.933
_cell_angle_alpha 90.00
_cell_angle_beta 109.28
_cell_angle_gamma 90.00
_space_group_name_H-M_alt 'P 1 2/m 1'
_space_group_IT_number 10
_space_group_name_Hall '-P 2y'
loop_
_atom_site_label
_atom_site_type_symbol
_atom_site_fract_x
_atom_site_fract_y
_atom_site_fract_z
_atom_site_occupancy
La1 La 0.234 0.000 0.230 1
La2 La 0.245 0.500 0.765 1
Ge1 Ge 0.000 0.500 0.000 1
Sb1 Sb 0.500 0.000 0.000 1
Te1 Te 0.000 0.000 0.500 1
Te2 Te 0.500 0.500 0.500 1
```

---

Record 4
LaGeSb2Te after structural relaxation. Source: Alexandria via LeMat-Bulk, functional PBE.

Properties
For the final energy, the calculation gives -3.590 eV/atom. For the density of states at the Fermi level, the calculation gives 6.3 states/eV per cell. The calculation puts the total magnetization at 0.0 μB/cell.

```
data_LaGeSb2Te
_cell_length_a 6.042
_cell_length_b 6.042
_cell_length_c 6.023
_cell_angle_alpha 90.00
_cell_angle_beta 90.00
_cell_angle_gamma 90.00
_space_group_name_H-M_alt 'P 4/m m m'
_space_group_IT_number 123
_space_group_name_Hall '-P 4 2'
loop_
_atom_site_label
_atom_site_type_symbol
_atom_site_fract_x
_atom_site_fract_y
_atom_site_fract_z
_atom_site_occupancy
La1 La 0.000 0.000 0.000 1
Ge1 Ge 0.500 0.500 0.500 1
Sb1 Sb 0.000 0.500 0.000 1
Te1 Te 0.000 0.000 0.500 1
```

---

Record 5
La6Ge2SbTe3 after structural relaxation. Source: Alexandria via LeMat-Bulk, functional PBE.

Properties
For the final energy, the calculation gives -5.721 eV/atom. For the density of states at the Fermi level, the calculation gives 5.4 states/eV per cell. The calculation puts the total magnetization at 0.0 μB/cell.

```
data_La6Ge2SbTe3
_cell_length_a 19.878
_cell_length_b 4.533
_cell_length_c 9.157
_cell_angle_alpha 90.00
_cell_angle_beta 103.68
_cell_angle_gamma 90.00
_space_group_name_H-M_alt 'C 1 2/m 1'
_space_group_IT_number 12
_space_group_name_Hall '-C 2y'
loop_
_atom_site_label
_atom_site_type_symbol
_atom_site_fract_x
_atom_site_fract_y
_atom_site_fract_z
_atom_site_occupancy
La1 La 0.008 0.000 0.250 1
La2 La 0.167 0.500 0.103 1
La3 La 0.172 0.500 0.570 1
Ge1 Ge 0.167 0.000 0.334 1
Sb1 Sb 0.000 0.500 0.000 1
Te1 Te 0.000 0.500 0.500 1
Te2 Te 0.164 0.000 0.833 1
```

---

Record 6
LaGeSb2Te after structural relaxation. Source: Alexandria via LeMat-Bulk, functional PBE.

Properties
For the final energy, the calculation gives -4.305 eV/atom. For the density of states at the Fermi level, the calculation gives 3.6 states/eV per cell. The calculation puts the total magnetization at 0.0 μB/cell.

```
data_LaGeSb2Te
_cell_length_a 5.354
_cell_length_b 5.354
_cell_length_c 5.457
_cell_angle_alpha 90.00
_cell_angle_beta 90.00
_cell_angle_gamma 90.00
_space_group_name_H-M_alt 'P 4/m m m'
_space_group_IT_number 123
_space_group_name_Hall '-P 4 2'
loop_
_atom_site_label
_atom_site_type_symbol
_atom_site_fract_x
_atom_site_fract_y
_atom_site_fract_z
_atom_site_occupancy
La1 La 0.000 0.000 0.000 1
Ge1 Ge 0.500 0.500 0.500 1
Sb1 Sb 0.000 0.500 0.500 1
Te1 Te 0.500 0.500 0.000 1
```

---

Record 7
LaGeSbTe2 after structural relaxation. Source: Alexandria via LeMat-Bulk, functional PBE.

Properties
For the final energy, the calculation gives -3.614 eV/atom. For the density of states at the Fermi level, the calculation gives 6.5 states/eV per cell. The calculation puts the total magnetization at 0.0 μB/cell.

```
data_LaGeSbTe2
_cell_length_a 6.061
_cell_length_b 6.061
_cell_length_c 6.100
_cell_angle_alpha 90.00
_cell_angle_beta 90.00
_cell_angle_gamma 90.00
_space_group_name_H-M_alt 'P 4/m m m'
_space_group_IT_number 123
_space_group_name_Hall '-P 4 2'
loop_
_atom_site_label
_atom_site_type_symbol
_atom_site_fract_x
_atom_site_fract_y
_atom_site_fract_z
_atom_site_occupancy
La1 La 0.000 0.000 0.000 1
Ge1 Ge 0.500 0.500 0.500 1
Sb1 Sb 0.000 0.000 0.500 1
Te1 Te 0.000 0.500 0.000 1
```

---

Record 8
La6GeSb2Te3 after structural relaxation. Source: Alexandria via LeMat-Bulk, functional PBE.

Properties
For the final energy, the calculation gives -5.741 eV/atom. For the density of states at the Fermi level, the calculation gives 9.3 states/eV per cell. The calculation puts the total magnetization at 0.0 μB/cell.

```
data_La6GeSb2Te3
_cell_length_a 19.999
_cell_length_b 4.572
_cell_length_c 9.190
_cell_angle_alpha 90.00
_cell_angle_beta 103.42
_cell_angle_gamma 90.00
_space_group_name_H-M_alt 'C 1 2/m 1'
_space_group_IT_number 12
_space_group_name_Hall '-C 2y'
loop_
_atom_site_label
_atom_site_type_symbol
_atom_site_fract_x
_atom_site_fract_y
_atom_site_fract_z
_atom_site_occupancy
La1 La 0.001 0.000 0.230 1
La2 La 0.158 0.500 0.083 1
La3 La 0.168 0.500 0.579 1
Ge1 Ge 0.000 0.500 0.000 1
Sb1 Sb 0.167 0.000 0.333 1
Te1 Te 0.000 0.500 0.500 1
Te2 Te 0.169 0.000 0.834 1
```

---

Record 9
La6Ge2Sb3Te after structural relaxation. Source: Alexandria via LeMat-Bulk, functional PBE.

Properties
For the final energy, the calculation gives -5.683 eV/atom. For the density of states at the Fermi level, the calculation gives 13.5 states/eV per cell. The calculation puts the total magnetization at 0.0 μB/cell.

```
data_La6Ge2Sb3Te
_cell_length_a 19.851
_cell_length_b 4.535
_cell_length_c 9.149
_cell_angle_alpha 90.00
_cell_angle_beta 103.20
_cell_angle_gamma 90.00
_space_group_name_H-M_alt 'C 1 2/m 1'
_space_group_IT_number 12
_space_group_name_Hall '-C 2y'
loop_
_atom_site_label
_atom_site_type_symbol
_atom_site_fract_x
_atom_site_fract_y
_atom_site_fract_z
_atom_site_occupancy
La1 La 0.006 0.000 0.258 1
La2 La 0.169 0.500 0.094 1
La3 La 0.170 0.500 0.577 1
Ge1 Ge 0.167 0.000 0.332 1
Sb1 Sb 0.000 0.500 0.500 1
Sb2 Sb 0.163 0.000 0.833 1
Te1 Te 0.000 0.500 0.000 1
```

---

Record 10
LaTl2GeSb after structural relaxation. Source: Alexandria via LeMat-Bulk, functional PBE.

Properties
For the final energy, the calculation gives -2.946 eV/atom. For the density of states at the Fermi level, the calculation gives 5.3 states/eV per cell. The calculation puts the total magnetization at 0.1 μB/cell.

```
data_LaTl2GeSb
_cell_length_a 6.121
_cell_length_b 6.121
_cell_length_c 6.005
_cell_angle_alpha 90.00
_cell_angle_beta 90.00
_cell_angle_gamma 90.00
_space_group_name_H-M_alt 'P 4/m m m'
_space_group_IT_number 123
_space_group_name_Hall '-P 4 2'
loop_
_atom_site_label
_atom_site_type_symbol
_atom_site_fract_x
_atom_site_fract_y
_atom_site_fract_z
_atom_site_occupancy
La1 La 0.000 0.000 0.000 1
Tl1 Tl 0.000 0.500 0.000 1
Ge1 Ge 0.500 0.500 0.500 1
Sb1 Sb 0.000 0.000 0.500 1
```

---

Record 11
La3ScGe6 after structural relaxation. Source: Alexandria via LeMat-Bulk, functional PBE.

Properties
For the final energy, the calculation gives -5.592 eV/atom. For the formation energy, the calculation gives -710 meV per atom. For the density of states at the Fermi level, the calculation gives 44.0 states/eV per cell. The calculation puts the total magnetization at 0.0 μB/cell.

```
data_La3ScGe6
_cell_length_a 11.8950
_cell_length_b 11.8950
_cell_length_c 11.6217
_cell_angle_alpha 90.00
_cell_angle_beta 90.00
_cell_angle_gamma 120.00
_space_group_name_H-M_alt 'R -3 c'
_space_group_IT_number 167
_space_group_name_Hall '-R 3 2"c'
loop_
_atom_site_label
_atom_site_type_symbol
_atom_site_fract_x
_atom_site_fract_y
_atom_site_fract_z
_atom_site_occupancy
La1 La 0.0000 0.4333 0.2500 1
Sc1 Sc 0.0000 0.0000 0.0000 1
Ge1 Ge 0.0693 0.2127 0.3407 1
```

---

Record 12
LaScGe2 after structural relaxation. Source: Alexandria via LeMat-Bulk, functional PBE.

Properties
For the final energy, the calculation gives -5.905 eV/atom. For the formation energy, the calculation gives -782 meV per atom. For the density of states at the Fermi level, the calculation gives 10.8 states/eV per cell. The calculation puts the total magnetization at 0.0 μB/cell.

```
data_LaScGe2
_cell_length_a 8.341
_cell_length_b 4.025
_cell_length_c 11.235
_cell_angle_alpha 90.00
_cell_angle_beta 90.00
_cell_angle_gamma 90.00
_space_group_name_H-M_alt 'P n m a'
_space_group_IT_number 62
_space_group_name_Hall '-P 2ac 2n'
loop_
_atom_site_label
_atom_site_type_symbol
_atom_site_fract_x
_atom_site_fract_y
_atom_site_fract_z
_atom_site_occupancy
La1 La 0.130 0.250 0.135 1
Sc1 Sc 0.009 0.750 0.392 1
Ge1 Ge 0.164 0.250 0.811 1
Ge2 Ge 0.237 0.250 0.444 1
```